Here is a relaxed Tb5Sm2Er5 crystal from Alexandria via LeMat-Bulk. Energies are from PBE-GGA.

It has space group C2/m (No. 12), with a = 15.0566 Å, b = 5.0127 Å, c = 11.2222 Å, α = 90.00°, β = 116.56° and γ = 90.00°. The inequivalent atoms are Tb at (0.0000, 0.0000, 0.0000), Tb at (0.0844, 0.0000, 0.7504), Tb at (0.1662, 0.0000, 0.4996), Sm at (0.0831, 0.5000, 0.2489), Er at (0.0000, 0.5000, 0.5000), Er at (0.1678, 0.5000, 0.0003) and Er at (0.2494, 0.5000, 0.7502).

The formation energy is 0.23 eV/f.u.